# 1
Below is a relaxed GaCuSi crystal, with properties calculated at the PBE level.

The space group is Pmm2 (No. 25) and the conventional cell measures 2.7677, 2.9403 and 5.6682 Å, with angles of 90.00, 90.00 and 90.00 degrees. Symmetry generates all atoms from Ga at (0.0000, 0.0000, 0.0000), Cu at (0.5000, 0.5000, 0.6977) and Si at (0.0000, 0.0000, 0.4350).

For the formation energy (no corrections), the calculation gives 0.26 eV per formula unit. The total energy comes out at -4.094 eV per atom.

***

# 2
Below is a relaxed Sc3TaRh4 crystal, with properties calculated at the PBE level.

The space group is P4/mmm (No. 123) and the conventional cell measures 3.1646, 3.1646 and 13.3261 Å, with angles of 90.00, 90.00 and 90.00 degrees. Symmetry generates all atoms from Sc at (0.0000, 0.0000, 0.0000), Sc at (0.0000, 0.0000, 0.2494), Ta at (0.0000, 0.0000, 0.5000), Rh at (0.5000, 0.5000, 0.1257) and Rh at (0.5000, 0.5000, 0.3795).

The energy of formation from the pure elements is -0.85 eV/atom. The total energy comes out at -8.377 eV per atom.

***

# 3
Below is a relaxed Ca3Tc crystal, with properties calculated at the PBE level.

The space group is R-3m (No. 166, hexagonal axes) and the conventional cell measures 3.5361, 3.5361 and 33.2948 Å, with angles of 90.00, 90.00 and 120.00 degrees. Symmetry generates all atoms from Ca at (0.0000, 0.0000, 0.0000), Ca at (0.0000, 0.0000, 0.2306) and Tc at (0.0000, 0.0000, 0.5000).

The energy of formation from the pure elements is 0.56 eV/atom. The total energy comes out at -3.534 eV per atom.